# 1
## ScSi2Rh (PBE)

Data for crystalline ScSi2Rh at its relaxed geometry.

The structure in POSCAR format:
```
ScSi2Rh
1.0
-1.4656 2.4735 4.3910
1.4656 -2.4735 4.3910
1.4656 2.4735 -4.3910
Sc Si Rh
1 2 1
Cartesian
0.0000 0.0000 0.0000
1.4656 0.0000 2.4095
0.0000 2.4735 1.9815
0.0000 0.0000 4.3910
```

**Uncorrected formation energy**: -1.95 eV/f.u.
**D(E_F)**: 0.4813 states/eV/atom
**Total DFT energy (no corrections)**: -6.62 eV/atom
**Density**: 5.32 Mg/m³
**Symmetry**: Immm (71)

# 2
## ZnP4 (PBE)

Data for crystalline ZnP4 at its relaxed geometry.

The structure in POSCAR format:
```
ZnP4
1.0
-2.1601 2.1601 4.9849
2.1601 -2.1601 4.9849
2.1601 2.1601 -4.9849
Zn P
1 4
Cartesian
0.0000 0.0000 0.0000
2.1601 0.0000 2.4924
0.0000 0.0000 3.3605
0.0000 0.0000 6.6093
0.0000 2.1601 2.4924
```

**E_form**: 194 kJ/mol of formula units
**D(E_F)**: 0.2839 states/eV/atom
**Total DFT energy (no corrections)**: -4.18 eV/atom
**Density**: 3.38 Mg/m³
**Symmetry**: I4/mmm (139)

# 3
## PrDy5Hg2 (PBE)

Data for crystalline PrDy5Hg2 at its relaxed geometry.

The structure in POSCAR format:
```
PrDy5Hg2
1.0
-1.8740 5.1046 6.2168
1.8740 -5.1046 6.2168
1.8740 5.1046 -6.2168
Pr Dy Hg
1 5 2
Cartesian
0.0000 0.0000 0.0000
1.8740 2.8278 -1.7094
1.8740 2.8278 1.7094
0.0000 5.1046 0.0000
0.0000 2.2767 4.5074
0.0000 2.2767 7.9261
1.8740 0.0000 2.9818
0.0000 5.1046 3.2350
```

**E_form**: -133 kJ/mol of formula units
**D(E_F)**: 1.0631 states/eV/atom
**Total DFT energy (no corrections)**: -3.72 eV/atom
**Density**: 9.46 Mg/m³
**Symmetry**: Immm (71)

# 4
## LiAcPu2S4 (PBE)

Data for crystalline LiAcPu2S4 at its relaxed geometry.

The structure in POSCAR format:
```
LiAcPu2S4
1.0
7.0020 0.0000 0.0000
0.0000 4.0741 0.0000
-2.3884 0.0000 6.7076
Li Ac Pu S
1 1 2 4
Cartesian
0.0000 0.0000 0.0000
3.5010 2.0371 0.0000
-1.1942 2.0371 3.3538
2.3068 0.0000 3.3538
-0.1219 0.0000 4.9242
1.1139 2.0371 1.7509
3.4997 2.0371 4.9567
4.7355 0.0000 1.7834
```

**Uncorrected formation energy**: -13.42 eV/f.u.
**D(E_F)**: 2.9188 states/eV/atom
**Total DFT energy (no corrections)**: -8.08 eV/atom
**Density**: 7.38 Mg/m³
**Symmetry**: P2/m (10)

# 5
## CsHg2Pb (PBE)

Data for crystalline CsHg2Pb at its relaxed geometry.

The structure in POSCAR format:
```
CsHg2Pb
1.0
9.0734 0.0000 0.0000
0.0000 5.3390 0.0000
0.0000 0.0000 12.2360
Cs Hg Pb
4 8 4
Cartesian
1.5502 1.3347 2.4864
2.9865 4.0042 8.6044
6.0869 1.3347 3.6316
7.5232 4.0042 9.7496
1.2146 1.3347 10.5924
1.5576 4.0042 12.1337
2.9791 1.3347 6.0157
3.3221 4.0042 4.4744
5.7513 1.3347 7.7616
6.0943 4.0042 6.2203
7.5158 1.3347 0.1023
7.8588 4.0042 1.6436
9.0716 1.3347 7.0284
0.0018 4.0042 5.2076
4.5349 1.3347 11.3256
4.5385 4.0042 0.9104
```

**E_form**: -74 kJ/mol of formula units
**D(E_F)**: 0.3354 states/eV/atom
**Total DFT energy (no corrections)**: -1.48 eV/atom
**Density**: 8.31 Mg/m³
**Symmetry**: Pnma (62)

# 6
## InTePt3 (PBE)

Data for crystalline InTePt3 at its relaxed geometry.

The structure in POSCAR format:
```
InTePt3
1.0
4.9528 0.0000 0.0000
0.0000 4.9528 0.0000
0.0000 0.0000 4.9528
In Te Pt
1 1 3
Cartesian
0.0000 0.0000 0.0000
2.4764 2.4764 2.4764
0.0000 0.0000 2.4764
0.0000 2.4764 0.0000
2.4764 0.0000 0.0000
```

**Uncorrected formation energy**: 4.49 eV/f.u.
**D(E_F)**: 0.6739 states/eV/atom
**Energy relative to the lowest polymorph listed for this composition**: 345 meV per atom
**Total DFT energy (no corrections)**: -3.90 eV/atom
**Density**: 11.31 Mg/m³
**Symmetry**: Pm-3m (221)

What is the total DFT energy (no corrections) in the fifth record? -1.48 eV/atom

Among the records above, which one has the highest density? InTePt3

density of number 3 (PrDy5Hg2)? 9.46 Mg/m³

Please write out number 2 again, unchanged.
## ZnP4 (PBE)

Data for crystalline ZnP4 at its relaxed geometry.

The structure in POSCAR format:
```
ZnP4
1.0
-2.1601 2.1601 4.9849
2.1601 -2.1601 4.9849
2.1601 2.1601 -4.9849
Zn P
1 4
Cartesian
0.0000 0.0000 0.0000
2.1601 0.0000 2.4924
0.0000 0.0000 3.3605
0.0000 0.0000 6.6093
0.0000 2.1601 2.4924
```

**E_form**: 194 kJ/mol of formula units
**D(E_F)**: 0.2839 states/eV/atom
**Total DFT energy (no corrections)**: -4.18 eV/atom
**Density**: 3.38 Mg/m³
**Symmetry**: I4/mmm (139)